Entry 1:
First-principles (PBE) data for SrMgP2 after structural relaxation, as listed in Alexandria via LeMat-Bulk. Values from VASP.

Computed properties:
- formation energy (eV per atom) = -0.491
- density of states at the Fermi level (states/eV/cell) = 1.5
- raw total energy (eV/f.u.) = -16.06
- magnetization (Bohr magnetons per cell) = 0.00

Geometry as Quantum ESPRESSO input:
```
&SYSTEM
  ibrav = 0, nat = 4, ntyp = 3
/
ATOMIC_SPECIES
P 30.97 P.upf
Mg 24.30 Mg.upf
Sr 87.62 Sr.upf
CELL_PARAMETERS angstrom
-0.603 -2.192 -2.848
1.264 -2.843 1.920
-4.567 -3.985 4.034
ATOMIC_POSITIONS crystal
P 0.000 0.064 0.936
Mg 0.500 0.750 0.750
P 0.000 0.436 0.564
Sr 0.500 0.250 0.250
```

---

Entry 2:
First-principles (PBE) data for Sr3MgP after structural relaxation, as listed in Alexandria via LeMat-Bulk. Values from VASP.

Computed properties:
- formation energy (eV per atom) = -0.461
- density of states at the Fermi level (states/eV/cell) = 3.9
- raw total energy (eV/f.u.) = -14.36
- excess energy over the best structure of this formula in the dataset (eV/atom) = 0.000
- magnetization (Bohr magnetons per cell) = 0.00

Geometry as Quantum ESPRESSO input:
```
&SYSTEM
  ibrav = 0, nat = 5, ntyp = 3
/
ATOMIC_SPECIES
Sr 87.62 Sr.upf
P 30.97 P.upf
Mg 24.30 Mg.upf
CELL_PARAMETERS angstrom
-0.119 -3.938 4.416
4.442 2.859 2.669
-3.909 3.368 2.898
ATOMIC_POSITIONS crystal
Sr 0.500 0.000 0.000
Sr 0.000 0.500 0.000
Sr 0.000 0.000 0.500
P 0.000 0.000 0.000
Mg 0.500 0.500 0.500
```

---

Entry 3:
First-principles (PBE) data for SrMg2P2 after structural relaxation, as listed in Alexandria via LeMat-Bulk. Values from VASP.

Computed properties:
- formation energy (eV per atom) = -0.390
- density of states at the Fermi level (states/eV/cell) = 3.3
- raw total energy (eV/f.u.) = -17.64
- magnetization (Bohr magnetons per cell) = 0.00

Geometry as Quantum ESPRESSO input:
```
&SYSTEM
  ibrav = 0, nat = 10, ntyp = 3
/
ATOMIC_SPECIES
Mg 24.30 Mg.upf
Sr 87.62 Sr.upf
P 30.97 P.upf
CELL_PARAMETERS angstrom
7.765 0.000 0.000
0.000 7.765 0.000
0.000 0.000 3.417
ATOMIC_POSITIONS crystal
Mg 0.376 0.876 0.000
Sr 0.500 0.500 0.000
P 0.324 0.176 0.500
Mg 0.124 0.376 0.000
P 0.824 0.324 0.500
Sr 0.000 0.000 0.000
P 0.176 0.676 0.500
P 0.676 0.824 0.500
Mg 0.876 0.624 0.000
Mg 0.624 0.124 0.000
```

---

Entry 4:
First-principles (PBE) data for Sr2MgP after structural relaxation, as listed in Alexandria via LeMat-Bulk. Values from VASP.

Computed properties:
- formation energy (eV per atom) = 0.072
- density of states at the Fermi level (states/eV/cell) = 2.6
- raw total energy (eV/f.u.) = -10.08
- excess energy over the best structure of this formula in the dataset (eV/atom) = 0.639
- magnetization (Bohr magnetons per cell) = 0.00

Geometry as Quantum ESPRESSO input:
```
&SYSTEM
  ibrav = 0, nat = 4, ntyp = 3
/
ATOMIC_SPECIES
Sr 87.62 Sr.upf
P 30.97 P.upf
Mg 24.30 Mg.upf
CELL_PARAMETERS angstrom
5.565 0.000 0.000
2.783 4.820 0.000
2.783 1.607 4.544
ATOMIC_POSITIONS crystal
Sr 0.250 0.250 0.250
P 0.750 0.750 0.750
Sr 0.000 0.000 0.000
Mg 0.500 0.500 0.500
```

---

Entry 5:
First-principles (PBE) data for Sr2MgP after structural relaxation, as listed in Alexandria via LeMat-Bulk. Values from VASP.

Computed properties:
- formation energy (eV per atom) = -0.512
- density of states at the Fermi level (states/eV/cell) = 2.2
- raw total energy (eV/f.u.) = -12.42
- excess energy over the best structure of this formula in the dataset (eV/atom) = 0.055
- magnetization (Bohr magnetons per cell) = 0.00

Geometry as Quantum ESPRESSO input:
```
&SYSTEM
  ibrav = 0, nat = 4, ntyp = 3
/
ATOMIC_SPECIES
Sr 87.62 Sr.upf
P 30.97 P.upf
Mg 24.30 Mg.upf
CELL_PARAMETERS angstrom
-2.599 1.664 -3.180
-3.012 -2.580 -1.976
-7.817 1.994 4.346
ATOMIC_POSITIONS crystal
Sr 0.476 0.476 0.571
P 0.750 0.750 0.750
Mg 0.250 0.250 0.250
Sr 0.024 0.024 0.929
```

---

Entry 6:
First-principles (PBE) data for SrMg2TeP after structural relaxation, as listed in Alexandria via LeMat-Bulk. Values from VASP.

Computed properties:
- density of states at the Fermi level (states/eV/cell) = 2.9
- raw total energy (eV/f.u.) = -16.85
- magnetization (Bohr magnetons per cell) = 0.00
- energy relative to the elements, uncorrected (eV per atom) = -0.68

Geometry as Quantum ESPRESSO input:
```
&SYSTEM
  ibrav = 0, nat = 5, ntyp = 4
/
ATOMIC_SPECIES
Mg 24.30 Mg.upf
P 30.97 P.upf
Te 127.60 Te.upf
Sr 87.62 Sr.upf
CELL_PARAMETERS angstrom
-2.819 -3.580 -1.849
0.648 -3.142 5.098
-3.995 2.187 1.855
ATOMIC_POSITIONS crystal
Mg 0.500 0.000 0.000
P 0.000 0.000 0.000
Te 0.500 0.500 0.500
Sr 0.000 0.500 0.000
Mg 0.000 0.000 0.500
```

---

Entry 7:
First-principles (PBE) data for SrMgTlP2 after structural relaxation, as listed in Alexandria via LeMat-Bulk. Values from VASP.

Computed properties:
- formation energy (eV per atom) = 0.703
- density of states at the Fermi level (states/eV/cell) = 4.2
- raw total energy (eV/f.u.) = -12.95
- magnetization (Bohr magnetons per cell) = 0.48

Geometry as Quantum ESPRESSO input:
```
&SYSTEM
  ibrav = 0, nat = 5, ntyp = 4
/
ATOMIC_SPECIES
Tl 204.38 Tl.upf
P 30.97 P.upf
Mg 24.30 Mg.upf
Sr 87.62 Sr.upf
CELL_PARAMETERS angstrom
5.238 0.000 0.000
0.000 6.060 0.000
0.000 0.000 5.238
ATOMIC_POSITIONS crystal
Tl 0.000 0.000 0.000
P 0.500 0.000 0.000
Mg 0.500 0.500 0.500
P 0.000 0.000 0.500
Sr 0.000 0.500 0.000
```

---

Entry 8:
First-principles (PBE) data for Mg3TaP after structural relaxation, as listed in Alexandria via LeMat-Bulk. Values from VASP.

Computed properties:
- formation energy (eV per atom) = 1.610
- density of states at the Fermi level (states/eV/cell) = 2.9
- raw total energy (eV/f.u.) = -14.00
- excess energy over the best structure of this formula in the dataset (eV/atom) = 0.895
- magnetization (Bohr magnetons per cell) = 2.18

Geometry as Quantum ESPRESSO input:
```
&SYSTEM
  ibrav = 0, nat = 5, ntyp = 3
/
ATOMIC_SPECIES
Mg 24.30 Mg.upf
P 30.97 P.upf
Ta 180.95 Ta.upf
CELL_PARAMETERS angstrom
5.362 0.000 0.000
0.000 5.362 0.000
0.000 0.000 5.362
ATOMIC_POSITIONS crystal
Mg 0.500 0.000 0.000
Mg 0.000 0.000 0.500
Mg 0.000 0.500 0.000
P 0.500 0.500 0.500
Ta 0.000 0.000 0.000
```

---

Entry 9:
First-principles (PBE) data for MgTaP2 after structural relaxation, as listed in Alexandria via LeMat-Bulk. Values from VASP.

Computed properties:
- formation energy (eV per atom) = -0.214
- density of states at the Fermi level (states/eV/cell) = 8.6
- raw total energy (eV/f.u.) = -25.12
- magnetization (Bohr magnetons per cell) = 0.00

Geometry as Quantum ESPRESSO input:
```
&SYSTEM
  ibrav = 0, nat = 8, ntyp = 3
/
ATOMIC_SPECIES
P 30.97 P.upf
Ta 180.95 Ta.upf
Mg 24.30 Mg.upf
CELL_PARAMETERS angstrom
-4.110 -1.433 -3.880
-3.488 -1.738 4.337
-5.924 3.556 0.580
ATOMIC_POSITIONS crystal
P 0.648 0.125 0.250
P 0.375 0.352 0.750
Ta 0.750 0.250 0.500
Ta 0.000 0.000 0.000
Mg 0.250 0.750 0.500
Mg 0.500 0.500 0.000
P 0.875 0.898 0.750
P 0.102 0.625 0.250
```

---

Entry 10:
First-principles (PBE) data for MgTaP2 after structural relaxation, as listed in Alexandria via LeMat-Bulk. Values from VASP.

Computed properties:
- formation energy (eV per atom) = 0.232
- density of states at the Fermi level (states/eV/cell) = 3.0
- raw total energy (eV/f.u.) = -23.34
- magnetization (Bohr magnetons per cell) = 0.00

Geometry as Quantum ESPRESSO input:
```
&SYSTEM
  ibrav = 0, nat = 4, ntyp = 3
/
ATOMIC_SPECIES
P 30.97 P.upf
Ta 180.95 Ta.upf
Mg 24.30 Mg.upf
CELL_PARAMETERS angstrom
-2.001 -1.961 -0.778
0.612 -1.566 2.372
-5.791 4.214 4.274
ATOMIC_POSITIONS crystal
P 0.500 0.500 0.279
P 0.000 0.000 0.979
Ta 0.000 0.000 0.476
Mg 0.500 0.500 0.766
```

---

Entry 11:
First-principles (PBE) data for MgTaP2 after structural relaxation, as listed in Alexandria via LeMat-Bulk. Values from VASP.

Computed properties:
- formation energy (eV per atom) = -0.459
- density of states at the Fermi level (states/eV/cell) = 1.7
- raw total energy (eV/f.u.) = -26.10
- magnetization (Bohr magnetons per cell) = 0.00

Geometry as Quantum ESPRESSO input:
```
&SYSTEM
  ibrav = 0, nat = 4, ntyp = 3
/
ATOMIC_SPECIES
P 30.97 P.upf
Mg 24.30 Mg.upf
Ta 180.95 Ta.upf
CELL_PARAMETERS angstrom
-1.200 -2.532 -1.659
2.283 -1.929 1.293
-3.732 -1.289 4.668
ATOMIC_POSITIONS crystal
P 0.000 0.000 0.465
Mg 0.500 0.500 0.750
P 0.000 0.000 0.035
Ta 0.500 0.500 0.250
```

---

Entry 12:
First-principles (PBE) data for MgTa3P after structural relaxation, as listed in Alexandria via LeMat-Bulk. Values from VASP.

Computed properties:
- formation energy (eV per atom) = 0.356
- density of states at the Fermi level (states/eV/cell) = 6.7
- raw total energy (eV/f.u.) = -40.78
- excess energy over the best structure of this formula in the dataset (eV/atom) = 0.000
- magnetization (Bohr magnetons per cell) = 0.00

Geometry as Quantum ESPRESSO input:
```
&SYSTEM
  ibrav = 0, nat = 5, ntyp = 3
/
ATOMIC_SPECIES
Ta 180.95 Ta.upf
P 30.97 P.upf
Mg 24.30 Mg.upf
CELL_PARAMETERS angstrom
-0.104 1.749 -4.297
-4.630 -0.313 -0.015
-0.295 4.287 1.752
ATOMIC_POSITIONS crystal
Ta 0.500 0.000 0.000
P 0.000 0.000 0.000
Ta 0.000 0.000 0.500
Ta 0.000 0.500 0.000
Mg 0.500 0.500 0.500
```

---

Entry 13:
First-principles (PBE) data for MgTaP2 after structural relaxation, as listed in Alexandria via LeMat-Bulk. Values from VASP.

Computed properties:
- formation energy (eV per atom) = -0.458
- density of states at the Fermi level (states/eV/cell) = 1.5
- raw total energy (eV/f.u.) = -26.10
- magnetization (Bohr magnetons per cell) = 0.00

Geometry as Quantum ESPRESSO input:
```
&SYSTEM
  ibrav = 0, nat = 4, ntyp = 3
/
ATOMIC_SPECIES
Ta 180.95 Ta.upf
Mg 24.30 Mg.upf
P 30.97 P.upf
CELL_PARAMETERS angstrom
-2.362 -1.721 -1.404
2.041 -0.865 -2.371
3.226 -5.637 1.484
ATOMIC_POSITIONS crystal
Ta 0.500 0.250 0.250
Mg 0.500 0.750 0.750
P 0.000 0.918 0.036
P 0.000 0.582 0.464
```

---

Entry 14:
First-principles (PBE) data for MgTaP3 after structural relaxation, as listed in Alexandria via LeMat-Bulk. Values from VASP.

Computed properties:
- formation energy (eV per atom) = 1.300
- density of states at the Fermi level (states/eV/cell) = 5.8
- raw total energy (eV/f.u.) = -23.18
- excess energy over the best structure of this formula in the dataset (eV/atom) = 1.090
- magnetization (Bohr magnetons per cell) = 0.00

Geometry as Quantum ESPRESSO input:
```
&SYSTEM
  ibrav = 0, nat = 5, ntyp = 3
/
ATOMIC_SPECIES
P 30.97 P.upf
Ta 180.95 Ta.upf
Mg 24.30 Mg.upf
CELL_PARAMETERS angstrom
4.594 0.000 0.000
0.000 4.594 0.000
0.000 0.000 4.594
ATOMIC_POSITIONS crystal
P 0.000 0.500 0.000
Ta 0.500 0.500 0.500
P 0.500 0.000 0.000
P 0.000 0.000 0.500
Mg 0.000 0.000 0.000
```